Here is a PBEsol-optimized structure of Li3Ta from Alexandria. Energies are from meta-GGA SCAN.

Calculated values
As for the total magnetization: 0.0 μB per formula unit. The electronic total energy is -17.95 eV/atom. Its distance to the lowest polymorph of the same formula is 20 meV/atom. The energy of formation is 490 meV/atom.

```
data_Li3Ta
_cell_length_a 5.919
_cell_length_b 9.066
_cell_length_c 2.548
_cell_angle_alpha 90.00
_cell_angle_beta 90.00
_cell_angle_gamma 90.00
_symmetry_space_group_name_H-M 'C m m m'
_symmetry_Int_Tables_number 65
_symmetry_space_group_name_Hall '-C 2 2'
loop_
_atom_site_label
_atom_site_type_symbol
_atom_site_fract_x
_atom_site_fract_y
_atom_site_fract_z
Li1 Li 0.000 0.000 0.000
Li2 Li 0.250 0.250 0.500
Ta1 Ta 0.000 0.500 0.000
```